Entry from Alexandria: crystalline AcPrRhPb at its relaxed geometry (PBE-GGA).

```
data_AcPrRhPb
_chemical_formula_sum 'Ac1 Pr1 Rh1 Pb1'
_symmetry_space_group_name_H-M 'P 1'
_symmetry_Int_Tables_number 1
_cell_length_a 5.485
_cell_length_b 5.485
_cell_length_c 5.485
_cell_angle_alpha 60.00
_cell_angle_beta 60.00
_cell_angle_gamma 60.00
loop_
_symmetry_equiv_pos_as_xyz
'x,y,z'
loop_
_atom_site_label
_atom_site_type_symbol
_atom_site_fract_x
_atom_site_fract_y
_atom_site_fract_z
_atom_site_occupancy
Pb1 Pb 0.500 0.500 0.500 1
Pr1 Pr 0.250 0.250 0.250 1
Ac1 Ac 0.750 0.750 0.750 1
Rh1 Rh 0.000 0.000 0.000 1
```

* volume: 116.7 Å³/f.u.
* space-group type: F-43m (216)
* DOS(E_F): 3.7 states/eV/cell
* energy of formation from the pure elements: -369 meV/atom